(1)
The following is a PBE calculation of a geometry-optimized Y2SnSeBr structure, from Alexandria via LeMat-Bulk.

The space group is P4/mmm (No. 123) and the conventional cell measures 5.5393, 5.5393 and 5.0750 Å, with angles of 90.00, 90.00 and 90.00 degrees. The inequivalent atoms are Y at (0.0000, 0.5000, 0.0000), Sn at (0.0000, 0.0000, 0.5000), Se at (0.5000, 0.5000, 0.0000) and Br at (0.5000, 0.5000, 0.5000).

The raw formation energy comes out at -1.7 eV per formula unit. For the density of states at the Fermi level, the calculation gives 0.667 states/eV/atom. The calculation puts the volume at 31.1 A^3/atom.

=====

(2)
The following is a PBE calculation of a geometry-optimized ZrSnSeBr2 structure, from Alexandria via LeMat-Bulk.

The space group is P4/mmm (No. 123) and the conventional cell measures 5.5258, 5.5258 and 5.4896 Å, with angles of 90.00, 90.00 and 90.00 degrees. The inequivalent atoms are Zr at (0.0000, 0.0000, 0.0000), Sn at (0.5000, 0.5000, 0.5000), Se at (0.5000, 0.5000, 0.0000) and Br at (0.0000, 0.5000, 0.5000).

The raw formation energy comes out at 1.3 eV per formula unit. For the density of states at the Fermi level, the calculation gives 0.660 states/eV/atom. The calculation puts the volume at 33.5 A^3/atom. The calculation puts the excess energy over the best structure of this formula in the dataset at 761 meV/atom.

=====

(3)
The following is a PBE calculation of a geometry-optimized Zr2SnSeBr structure, from Alexandria via LeMat-Bulk.

The space group is P4/mmm (No. 123) and the conventional cell measures 5.5010, 5.5010 and 5.2881 Å, with angles of 90.00, 90.00 and 90.00 degrees. The inequivalent atoms are Zr at (0.0000, 0.5000, 0.0000), Sn at (0.0000, 0.0000, 0.0000), Se at (0.5000, 0.5000, 0.5000) and Br at (0.0000, 0.0000, 0.5000).

The raw formation energy comes out at 3.7 eV per formula unit. For the density of states at the Fermi level, the calculation gives 1.132 states/eV/atom. The calculation puts the volume at 32.0 A^3/atom.

=====

(4)
The following is a PBE calculation of a geometry-optimized ZrSnSeBr2 structure, from Alexandria via LeMat-Bulk.

The space group is P4/mmm (No. 123) and the conventional cell measures 5.3306, 5.3306 and 5.2650 Å, with angles of 90.00, 90.00 and 90.00 degrees. The inequivalent atoms are Zr at (0.0000, 0.0000, 0.0000), Sn at (0.5000, 0.5000, 0.5000), Se at (0.0000, 0.0000, 0.5000) and Br at (0.0000, 0.5000, 0.0000).

The raw formation energy comes out at -2.5 eV per formula unit. For the density of states at the Fermi level, the calculation gives 0.873 states/eV/atom. The calculation puts the volume at 29.9 A^3/atom. The calculation puts the excess energy over the best structure of this formula in the dataset at 0 meV/atom.

=====

(5)
The following is a PBE calculation of a geometry-optimized Sr3Se2Br2 structure, from Alexandria via LeMat-Bulk.

The space group is C2/m (No. 12) and the conventional cell measures 14.9279, 4.4316 and 7.9852 Å, with angles of 90.00, 102.59 and 90.00 degrees. The inequivalent atoms are Sr at (0.0000, 0.0000, 0.0000), Sr at (0.2305, 0.0000, 0.7605), Se at (0.1243, 0.5000, 0.8985) and Br at (0.1453, 0.0000, 0.3603).

The raw formation energy comes out at -14.3 eV per formula unit. For the density of states at the Fermi level, the calculation gives 0.000 states/eV/atom. The calculation puts the volume at 36.8 A^3/atom.

=====

(6)
The following is a PBE calculation of a geometry-optimized SrSe2Br structure, from Alexandria via LeMat-Bulk.

The space group is Cm (No. 8) and the conventional cell measures 10.8202, 3.9527 and 6.1542 Å, with angles of 90.00, 100.95 and 90.00 degrees. The inequivalent atoms are Sr at (0.0000, 0.0000, 0.0000), Se at (0.1349, 0.5000, 0.3879), Se at (0.4657, 0.0000, 0.5662) and Br at (0.2816, 0.0000, 0.9600).

The raw formation energy comes out at -4.4 eV per formula unit. For the density of states at the Fermi level, the calculation gives 0.822 states/eV/atom. The calculation puts the volume at 32.3 A^3/atom. The calculation puts the excess energy over the best structure of this formula in the dataset at 72 meV/atom.

=====

(7)
The following is a PBE calculation of a geometry-optimized Sr2SeBr structure, from Alexandria via LeMat-Bulk.

The space group is I-42d (No. 122) and the conventional cell measures 7.0739, 7.0739 and 14.1036 Å, with angles of 90.00, 90.00 and 90.00 degrees. The inequivalent atoms are Sr at (0.2281, 0.2500, 0.1250), Se at (0.0000, 0.0000, 0.0000) and Br at (0.0000, 0.0000, 0.5000).

The raw formation energy comes out at -6.1 eV per formula unit. For the density of states at the Fermi level, the calculation gives 0.750 states/eV/atom. The calculation puts the volume at 44.1 A^3/atom. The calculation puts the excess energy over the best structure of this formula in the dataset at 202 meV/atom.

=====

(8)
The following is a PBE calculation of a geometry-optimized SrSe2Br structure, from Alexandria via LeMat-Bulk.

The space group is R-3m (No. 166, hexagonal axes) and the conventional cell measures 5.2979, 5.2979 and 14.2599 Å, with angles of 90.00, 90.00 and 120.00 degrees. The inequivalent atoms are Sr at (0.0000, 0.0000, 0.0000), Se at (0.0000, 0.0000, 0.2096) and Br at (0.0000, 0.0000, 0.5000).

The raw formation energy comes out at -2.2 eV per formula unit. For the density of states at the Fermi level, the calculation gives 1.205 states/eV/atom. The calculation puts the volume at 28.9 A^3/atom. The calculation puts the excess energy over the best structure of this formula in the dataset at 605 meV/atom.

=====

(9)
The following is a PBE calculation of a geometry-optimized Sr3SeBr structure, from Alexandria via LeMat-Bulk.

The space group is Pm-3m (No. 221) and the conventional cell measures 6.0515, 6.0515 and 6.0515 Å, with angles of 90.00, 90.00 and 90.00 degrees. The inequivalent atoms are Sr at (0.0000, 0.0000, 0.5000), Se at (0.0000, 0.0000, 0.0000) and Br at (0.5000, 0.5000, 0.5000).

The raw formation energy comes out at -4.4 eV per formula unit. For the density of states at the Fermi level, the calculation gives 1.237 states/eV/atom. The calculation puts the volume at 44.3 A^3/atom. The calculation puts the excess energy over the best structure of this formula in the dataset at 0 meV/atom.

=====

(10)
The following is a PBE calculation of a geometry-optimized SrSe2Br structure, from Alexandria via LeMat-Bulk.

The space group is Pm (No. 6) and the conventional cell measures 4.1783, 4.2934 and 7.4460 Å, with angles of 90.00, 94.74 and 90.00 degrees. The inequivalent atoms are Sr at (0.0000, 0.0000, 0.0000), Se at (0.1004, 0.5000, 0.6650), Se at (0.4105, 0.0000, 0.6804) and Br at (0.5333, 0.5000, 0.1548).

The raw formation energy comes out at -4.6 eV per formula unit. For the density of states at the Fermi level, the calculation gives 0.242 states/eV/atom. The calculation puts the volume at 33.3 A^3/atom. The calculation puts the excess energy over the best structure of this formula in the dataset at 16 meV/atom.

=====

(11)
The following is a PBE calculation of a geometry-optimized Sr2SeBr structure, from Alexandria via LeMat-Bulk.

The space group is C2/m (No. 12) and the conventional cell measures 7.7825, 4.4838 and 7.7366 Å, with angles of 90.00, 109.48 and 90.00 degrees. The inequivalent atoms are Sr at (0.2427, 0.0000, 0.2285), Se at (0.0000, 0.5000, 0.0000) and Br at (0.0000, 0.0000, 0.5000).

The raw formation energy comes out at -6.9 eV per formula unit. For the density of states at the Fermi level, the calculation gives 0.417 states/eV/atom. The calculation puts the volume at 31.8 A^3/atom. The calculation puts the excess energy over the best structure of this formula in the dataset at 0 meV/atom.

=====

(12)
The following is a PBE calculation of a geometry-optimized Sr2SeBr structure, from Alexandria via LeMat-Bulk.

The space group is P4/mmm (No. 123) and the conventional cell measures 3.8800, 3.8800 and 7.7731 Å, with angles of 90.00, 90.00 and 90.00 degrees. The inequivalent atoms are Sr at (0.0000, 0.0000, 0.2289), Se at (0.5000, 0.5000, 0.0000) and Br at (0.5000, 0.5000, 0.5000).

The raw formation energy comes out at -6.0 eV per formula unit. For the density of states at the Fermi level, the calculation gives 0.576 states/eV/atom. The calculation puts the volume at 29.3 A^3/atom. The calculation puts the excess energy over the best structure of this formula in the dataset at 232 meV/atom.